Entry 1:
Below is an optimized crystal structure of DySiH2O4, with properties calculated at the PBE-GGA level.

Lattice parameters (Å, degrees): 6.4142 6.4142 8.2029 90.00 90.00 90.00
Closest atoms and distances in Å follow each position.
Space group I4_1/amd (No. 141, origin choice 2)
Asymmetric unit:
Dy1 0.0000 0.2500 0.3750 (multiplicity 4)  4 O 2.20, 2 H 2.21
Si1 0.0000 0.2500 0.8750 (multiplicity 4)  4 O 1.66
H1 0.0000 0.2500 0.1060 (multiplicity 8)  2 O 1.43
O1 0.0000 0.0617 0.7371 (multiplicity 16)  1 H 1.43

## Properties
The value obtained for the uncorrected energy is -199.21 eV for the cell shown. As for the density: 5050 kg/m³. The excess energy over the best structure of this formula in the dataset is 360 meV per atom.



Entry 2:
Below is an optimized crystal structure of YCuSbPd, with properties calculated at the PBE-GGA level.

Lattice parameters (Å, degrees): 6.8437 6.8437 6.8437 90.00 90.00 90.00
Closest atoms and distances in Å follow each position.
Space group F-43m (No. 216)
Asymmetric unit:
Y1 0.0000 0.0000 0.0000 (multiplicity 4)  4 Sb 2.96, 4 Pd 2.96
Cu1 0.0000 0.0000 0.5000 (multiplicity 4)  4 Pd 2.96, 4 Sb 2.96
Sb1 0.2500 0.2500 0.2500 (multiplicity 4)  4 Cu 2.96, 4 Y 2.96
Pd1 0.2500 0.2500 0.7500 (multiplicity 4)  4 Cu 2.96, 4 Y 2.96

## Properties
The value obtained for the uncorrected energy is -84.74 eV for the cell shown. As for the density: 7888 kg/m³. The excess energy over the best structure of this formula in the dataset is 161 meV per atom.



Entry 3:
Below is an optimized crystal structure of RbAgIrO3, with properties calculated at the PBE-GGA level.

Lattice parameters (Å, degrees): 11.8859 3.2148 10.6045 90.00 90.00 90.00
Closest atoms and distances in Å follow each position.
Space group Pnma (No. 62)
Asymmetric unit:
Rb1 0.2349 0.2500 0.1462 (multiplicity 4)  5 O 2.69-2.94
Ag1 0.0336 0.2500 0.9091 (multiplicity 4)  2 O 2.17
Ir1 0.0193 0.2500 0.3732 (multiplicity 4)  6 O 1.95-2.09
O1 0.0724 0.7500 0.7788 (multiplicity 4)  1 Ir 1.95, 2 Ag 2.17
O2 0.0737 0.2500 0.5565 (multiplicity 4)  3 Ir 2.05-2.09
O3 0.1097 0.7500 0.3201 (multiplicity 4)  2 Ir 2.01

## Properties
The value obtained for the uncorrected energy is -127.11 eV for the cell shown. As for the density: 7107 kg/m³.



Entry 4:
Below is an optimized crystal structure of CsFeAuSe2S, with properties calculated at the PBE-GGA level.

Lattice parameters (Å, degrees): 3.7432 15.7894 10.8829 90.00 90.00 90.00
Closest atoms and distances in Å follow each position.
Space group Cmcm (No. 63)
Asymmetric unit:
Cs1 0.0000 0.2486 0.2500 (multiplicity 4)  2 S 3.47, 2 Cs 3.74, 6 Se 3.84-3.85, 2 Au 3.87
Fe1 0.0000 0.5000 0.0000 (multiplicity 4)  4 Se 2.49
Au1 0.0000 0.0366 0.7500 (multiplicity 4)  2 S 2.45, 2 Se 2.58
Se1 0.0000 0.1017 0.5323 (multiplicity 8)  2 Fe 2.49, 1 Au 2.58
S1 0.0000 0.4363 0.7500 (multiplicity 4)  2 Au 2.45

## Properties
The value obtained for the uncorrected energy is -100.03 eV for the cell shown. As for the density: 5945 kg/m³.



Entry 5:
Below is an optimized crystal structure of HfInHg3S4, with properties calculated at the PBE-GGA level.

Lattice parameters (Å, degrees): 6.7899 6.7899 6.7899 90.00 90.00 90.00
Closest atoms and distances in Å follow each position.
Space group P-43m (No. 215)
Asymmetric unit:
Hf1 0.0000 0.0000 0.0000 (multiplicity 1)  4 S 2.43
In1 0.5000 0.5000 0.5000 (multiplicity 1)  4 S 3.45
Hg1 0.0000 0.0000 0.5000 (multiplicity 3)  4 S 2.81
S1 0.2066 0.2066 0.7934 (multiplicity 4)  1 Hf 2.43

## Properties
The value obtained for the uncorrected energy is -32.69 eV for the cell shown. As for the density: 5429 kg/m³. The excess energy over the best structure of this formula in the dataset is 162 meV per atom.



Entry 6:
Below is an optimized crystal structure of SrLu2, with properties calculated at the PBE-GGA level.

Lattice parameters (Å, degrees): 15.7981 15.7981 15.7981 90.00 90.00 90.00
Closest atoms and distances in Å follow each position.
Space group Fd-3m (No. 227, origin choice 2)
Asymmetric unit:
Sr1 0.1250 0.1250 0.1250 (multiplicity 8)  4 Lu 3.42
Lu1 0.0000 0.0000 0.0000 (multiplicity 16)  2 Sr 3.42

## Properties
The value obtained for the uncorrected energy is -24.51 eV for the cell shown. As for the density: 1474 kg/m³. The excess energy over the best structure of this formula in the dataset is 2290 meV per atom.



Entry 7:
Below is an optimized crystal structure of CsErB4, with properties calculated at the PBE-GGA level.

Lattice parameters (Å, degrees): 3.2703 3.2703 9.3188 90.00 90.00 120.00
Closest atoms and distances in Å follow each position.
Space group P6/mmm (No. 191)
Asymmetric unit:
Cs1 0.0000 0.0000 0.0000 (multiplicity 1)  6 Cs 3.27, 12 B 3.39
Er1 0.0000 0.0000 0.5000 (multiplicity 1)  12 B 2.64
B1 0.3333 0.6667 0.3022 (multiplicity 4)  3 B 1.89

## Properties
The value obtained for the uncorrected energy is -31.44 eV for the cell shown. As for the density: 6607 kg/m³. The excess energy over the best structure of this formula in the dataset is 0 meV per atom.



Entry 8:
Below is an optimized crystal structure of USnOs, with properties calculated at the PBE-GGA level.

Lattice parameters (Å, degrees): 6.5364 6.5364 6.5364 90.00 90.00 90.00
Closest atoms and distances in Å follow each position.
Space group F-43m (No. 216)
Asymmetric unit:
U1 0.0000 0.0000 0.0000 (multiplicity 4)  4 Sn 2.83
Sn1 0.2500 0.2500 0.7500 (multiplicity 4)  4 Os 2.83, 4 U 2.83
Os1 0.0000 0.0000 0.5000 (multiplicity 4)  4 Sn 2.83

## Properties
The value obtained for the uncorrected energy is -95.22 eV for the cell shown. As for the density: 13009 kg/m³.



Entry 9:
Below is an optimized crystal structure of HfZnB2, with properties calculated at the PBE-GGA level.

Lattice parameters (Å, degrees): 5.8519 5.8519 5.8519 90.00 90.00 90.00
Closest atoms and distances in Å follow each position.
Space group F-43m (No. 216)
Asymmetric unit:
Hf1 0.0000 0.0000 0.0000 (multiplicity 4)  4 B 2.53, 4 Zn 2.53
Zn1 0.2500 0.2500 0.7500 (multiplicity 4)  4 Hf 2.53, 4 B 2.53
B1 0.0000 0.0000 0.5000 (multiplicity 4)  4 B 2.53, 4 Zn 2.53
B2 0.2500 0.2500 0.2500 (multiplicity 4)  4 Hf 2.53, 4 B 2.53

## Properties
The value obtained for the uncorrected energy is -80.98 eV for the cell shown. As for the density: 8801 kg/m³.



Entry 10:
Below is an optimized crystal structure of ReNiHgPb, with properties calculated at the PBE-GGA level.

Lattice parameters (Å, degrees): 6.7492 6.7492 6.7492 90.00 90.00 90.00
Closest atoms and distances in Å follow each position.
Space group F-43m (No. 216)
Asymmetric unit:
Re1 0.0000 0.0000 0.0000 (multiplicity 4)  4 Hg 2.92, 4 Ni 2.92
Ni1 0.2500 0.2500 0.7500 (multiplicity 4)  4 Pb 2.92, 4 Re 2.92
Hg1 0.2500 0.2500 0.2500 (multiplicity 4)  4 Pb 2.92, 4 Re 2.92
Pb1 0.0000 0.0000 0.5000 (multiplicity 4)  4 Ni 2.92, 4 Hg 2.92

## Properties
The value obtained for the uncorrected energy is -70.63 eV for the cell shown. As for the density: 14102 kg/m³.



Entry 11:
Below is an optimized crystal structure of ScNiSn, with properties calculated at the PBE-GGA level.

Lattice parameters (Å, degrees): 7.2311 7.2311 3.5368 90.00 90.00 120.00
Closest atoms and distances in Å follow each position.
Space group P-62m (No. 189)
Asymmetric unit:
Sc1 0.0000 0.3949 0.0000 (multiplicity 3)  5 Ni 2.84-2.86, 6 Sn 2.99-3.09
Ni1 0.0000 0.0000 0.0000 (multiplicity 1)  6 Sn 2.64, 3 Sc 2.86
Ni2 0.3333 0.6667 0.5000 (multiplicity 2)  3 Sn 2.66, 6 Sc 2.84
Sn1 0.0000 0.7291 0.5000 (multiplicity 3)  4 Ni 2.64-2.66

## Properties
The value obtained for the uncorrected energy is -53.53 eV for the cell shown. As for the density: 6916 kg/m³.



Entry 12:
Below is an optimized crystal structure of CdInFeW, with properties calculated at the PBE-GGA level.

Lattice parameters (Å, degrees): 6.4850 6.4850 6.4850 90.00 90.00 90.00
Closest atoms and distances in Å follow each position.
Space group F-43m (No. 216)
Asymmetric unit:
Cd1 0.0000 0.0000 0.0000 (multiplicity 4)  4 In 2.81, 4 W 2.81
In1 0.2500 0.2500 0.2500 (multiplicity 4)  4 Cd 2.81, 4 Fe 2.81
Fe1 0.0000 0.0000 0.5000 (multiplicity 4)  4 In 2.81, 4 W 2.81
W1 0.2500 0.2500 0.7500 (multiplicity 4)  4 Cd 2.81, 4 Fe 2.81

## Properties
The value obtained for the uncorrected energy is -88.07 eV for the cell shown. As for the density: 11371 kg/m³. The excess energy over the best structure of this formula in the dataset is 0 meV per atom.



> Among the records above, which one has the lowest uncorrected energy?

DySiH2O4



> The highest uncorrected energy belongs to which entry?

SrLu2



> What is the uncorrected energy in the second record?

-84.74 eV for the cell shown